Version i
PmEr4Ag after structural relaxation. Source: the Alexandria database, functional PBE-GGA.

abc: 5.3780 6.4444 10.8190
angles: 90.00 104.39 90.00
Closest atoms and distances in Å follow each position.
Element x y z (fractional)
Er  0.9329  0.2109  0.8657  2 Ag 3.22, 2 Pm 3.47-3.59, 4 Er 3.53-3.58
Er  0.3251  0.0783  0.6501  1 Ag 2.93, 3 Er 3.22-3.23
Er  0.0671  0.7109  0.1343  2 Ag 3.22, 2 Pm 3.47-3.59, 4 Er 3.53-3.58
Er  0.2595  0.5885  0.5189  1 Ag 3.03, 2 Er 3.22
Er  0.6749  0.5783  0.3499  1 Ag 2.93, 3 Er 3.22-3.23
Er  0.4655  0.8714  0.9309  2 Ag 2.90-2.98, 1 Er 3.23
Er  0.7405  0.0885  0.4811  1 Ag 3.03, 2 Er 3.22
Er  0.5345  0.3714  0.0691  2 Ag 2.90-2.98, 1 Er 3.23
Ag  0.6011  0.9637  0.2022  6 Er 2.90-3.22, 2 Pm 3.24
Ag  0.3989  0.4637  0.7978  6 Er 2.90-3.22, 2 Pm 3.24
Pm  0.1360  0.2206  0.2721  2 Ag 3.24, 7 Er 3.47-3.59
Pm  0.8640  0.7206  0.7279  2 Ag 3.24, 7 Er 3.47-3.59

Values from the calculation:
**SG**: Cmc2_1
**DOS(E_F)**: 18.62 states/eV per cell
**Total magnetic moment**: 0.000 μB per atom



Version ii
PmEr4Ag after structural relaxation. Source: the Alexandria database, functional PBE-GGA.

abc: 3.5434 3.5434 13.8385
angles: 90.00 90.00 90.00
Closest atoms and distances in Å follow each position.
Element x y z (fractional)
Pm  0.0000  0.0000  0.0000  4 Pm 3.54, 8 Er 3.57
Er  0.5000  0.5000  0.1834  8 Er 3.54, 4 Pm 3.57
Er  0.0000  0.0000  0.3643  4 Ag 3.13
Er  0.0000  0.0000  0.6357  4 Ag 3.13
Er  0.5000  0.5000  0.8166  8 Er 3.54, 4 Pm 3.57
Ag  0.5000  0.5000  0.5000  8 Er 3.13

Values from the calculation:
**SG**: P4/mmm
**DOS(E_F)**: 8.13 states/eV per cell
**Total magnetic moment**: 0.000 μB per atom



It is version i that is the least stable of them.



Version i
PmErAg after structural relaxation. Source: the Alexandria database, functional PBE-GGA.

abc: 3.6044 3.6044 6.8690
angles: 105.21 105.21 90.00
Closest atoms and distances in Å follow each position.
Element x y z (fractional)
Er  0.0221  0.0221  0.0441  4 Ag 3.08
Pm  0.3202  0.3202  0.6403  4 Ag 3.28, 4 Pm 3.60, 4 Er 3.62
Ag  0.6578  0.6578  0.3156  4 Er 3.08, 4 Pm 3.28

Values from the calculation:
**SG**: I4mm
**DOS(E_F)**: 3.92 states/eV per cell
**Total magnetic moment**: 0.104 μB per atom



Version ii
PmErAg after structural relaxation. Source: the Alexandria database, functional PBE-GGA.

abc: 3.7332 5.0666 5.0666
angles: 120.00 90.00 90.00
Closest atoms and distances in Å follow each position.
Element x y z (fractional)
Pm  0.0393  0.0000  0.0000  3 Ag 3.19, 6 Er 3.39-3.55
Ag  0.3829  0.3333  0.6667  3 Er 3.01, 3 Pm 3.19
Er  0.5778  0.6667  0.3333  3 Ag 3.01

Values from the calculation:
**SG**: P3m1
**DOS(E_F)**: 2.89 states/eV per cell
**Total magnetic moment**: 0.000 μB per atom



Version iii
PmErAg after structural relaxation. Source: the Alexandria database, functional PBE-GGA.

abc: 5.0428 5.0428 8.8466
angles: 73.44 73.44 60.00
Closest atoms and distances in Å follow each position.
Element x y z (fractional)
Pm  0.1238  0.1238  0.6286  4 Ag 3.12-3.26
Pm  0.8762  0.8762  0.3714  4 Ag 3.12-3.26
Er  0.3735  0.3735  0.8795  4 Ag 3.00-3.07
Er  0.6265  0.6265  0.1205  4 Ag 3.00-3.07
Ag  0.2538  0.2538  0.2386  4 Er 3.00-3.07, 4 Pm 3.12-3.26
Ag  0.7462  0.7462  0.7614  4 Er 3.00-3.07, 4 Pm 3.12-3.26

Values from the calculation:
**SG**: R-3m
**DOS(E_F)**: 8.26 states/eV per cell
**Total magnetic moment**: 0.000 μB per atom



It is version iii that is the least stable of them.